[1]
Ac2TlO after structural relaxation, computed with PBE.

a = 5.9467 Å, b = 5.9905 Å, c = 7.6900 Å
α = 90.01°, β = 112.62°, γ = 90.00°
With the nearest neighbours (Å) after each atom.
Positions (direct):
Ac 0.2361 0.1214 0.6523  2 O 2.46
Ac 0.0382 0.6211 0.2554  2 O 2.46
Ac 0.6878 0.6214 0.6518  2 O 2.46
Ac 0.4900 0.1211 0.2549  2 O 2.46
Tl 0.8630 0.1213 0.9535  8 Ac 3.55-3.77
Tl 0.3631 0.6213 0.9537  8 Ac 3.54-3.79
O 0.3628 0.8712 0.4536  4 Ac 2.46
O 0.3631 0.3712 0.4536  4 Ac 2.46

## Properties
total DFT energy (no corrections): -5.477 eV/atom
density of states at the Fermi level: 2.6 states/eV/f.u.
ρ: 8.9 Mg/m³
V: 253 Å³/cell
total magnetic moment: 0.0 μB per cell
E_form (uncorrected): -1592 meV/atom


[2]
Ac2Tl2O7 after structural relaxation, computed with PBE.

a = 6.5150 Å, b = 5.8445 Å, c = 5.8350 Å
α = 98.13°, β = 80.75°, γ = 104.69°
With the nearest neighbours (Å) after each atom.
Positions (direct):
Ac 0.7302 0.5610 0.7121  6 O 2.40-2.65
Ac 0.2698 0.4390 0.2879  6 O 2.40-2.65
Tl 0.6614 0.0392 0.2219  4 O 2.12-2.34
Tl 0.3386 0.9608 0.7781  4 O 2.12-2.34
O 0.8856 0.3401 0.3529  1 Tl 2.12
O 0.4661 0.7469 0.0106  2 Tl 2.21-2.34
O 0.1144 0.6599 0.6471  1 Tl 2.12
O 0.5339 0.2531 0.9894  2 Tl 2.21-2.34
O 0.0000 0.0000 0.0000  2 Tl 2.42
O 0.5691 0.7695 0.4824  2 Tl 2.25-2.44, 1 Ac 2.44
O 0.4309 0.2305 0.5176  2 Tl 2.25-2.44, 1 Ac 2.44

## Properties
total DFT energy (no corrections): -5.965 eV/atom
density of states at the Fermi level: 7.7 states/eV/f.u.
ρ: 7.7 Mg/m³
V: 211 Å³/cell
total magnetic moment: 2.0 μB per cell
E_form (uncorrected): -1633 meV/atom


[3]
Ac3Tl2O after structural relaxation, computed with PBE.

a = 7.1153 Å, b = 9.1693 Å, c = 7.4071 Å
α = 99.25°, β = 118.71°, γ = 90.00°
With the nearest neighbours (Å) after each atom.
Positions (direct):
Ac 0.3691 0.2500 0.0000  1 O 2.35
Ac 0.6309 0.7500 0.0000  1 O 2.35
Ac 0.0210 0.1691 0.2801  1 O 2.37
Ac 0.7409 0.3309 0.7199  1 O 2.37
Ac 0.2591 0.6691 0.2801  1 O 2.37
Ac 0.9790 0.8309 0.7199  1 O 2.37
Tl 0.7726 0.5099 0.3295  1 Tl 3.03, 2 Ac 3.34-3.36
Tl 0.5569 0.0099 0.3295  1 Tl 3.03, 2 Ac 3.34-3.36
Tl 0.4431 0.9901 0.6705  1 Tl 3.03, 2 Ac 3.34-3.36
Tl 0.2274 0.4901 0.6705  1 Tl 3.03, 2 Ac 3.34-3.36
O 0.9615 0.7500 0.0000  3 Ac 2.35-2.37
O 0.0385 0.2500 0.0000  3 Ac 2.35-2.37

## Properties
total DFT energy (no corrections): -4.766 eV/atom
density of states at the Fermi level: 5.5 states/eV/f.u.
ρ: 8.8 Mg/m³
V: 417 Å³/cell
total magnetic moment: 0.0 μB per cell
E_form (uncorrected): -1096 meV/atom


[4]
Ac3TlO6 after structural relaxation, computed with PBE.

a = 6.0750 Å, b = 7.9361 Å, c = 7.9361 Å
α = 102.92°, β = 90.00°, γ = 90.00°
With the nearest neighbours (Å) after each atom.
Positions (direct):
Ac 0.4719 0.9105 0.6947  5 O 2.47-2.62
Ac 0.9719 0.6947 0.9105  5 O 2.47-2.62
Ac 0.4297 0.3969 0.6031  7 O 2.54-2.70
Ac 0.9297 0.6031 0.3969  7 O 2.54-2.70
Ac 0.9719 0.0895 0.3053  5 O 2.47-2.62
Ac 0.4719 0.3053 0.0895  5 O 2.47-2.62
Tl 0.9950 0.1829 0.8171  4 O 2.14-2.23
Tl 0.4950 0.8171 0.1829  4 O 2.14-2.23
O 0.2031 0.6715 0.6459  4 Ac 2.47-2.55
O 0.7031 0.6459 0.6715  4 Ac 2.47-2.55
O 0.1926 0.4241 0.8959  1 Tl 2.23
O 0.6926 0.8959 0.4241  1 Tl 2.23
O 0.1747 0.0295 0.9705  1 Tl 2.19
O 0.6507 0.2180 0.7820  1 Tl 2.14
O 0.1507 0.7820 0.2180  1 Tl 2.14
O 0.6747 0.9705 0.0295  1 Tl 2.19
O 0.1926 0.1041 0.5759  1 Tl 2.23
O 0.6926 0.5759 0.1041  1 Tl 2.23
O 0.2031 0.3541 0.3285  4 Ac 2.47-2.55
O 0.7031 0.3285 0.3541  4 Ac 2.47-2.55

## Properties
total DFT energy (no corrections): -7.151 eV/atom
ρ: 8.7 Mg/m³
V: 373 Å³/cell
total magnetic moment: 0.0 μB per cell
E_form (uncorrected): -2706 meV/atom


[5]
Ac6TlO12 after structural relaxation, computed with PBE.

a = 7.1832 Å, b = 7.1832 Å, c = 7.1832 Å
α = 99.13°, β = 99.13°, γ = 99.13°
With the nearest neighbours (Å) after each atom.
Positions (direct):
Ac 0.1392 0.2947 0.6032  7 O 2.47-2.71
Ac 0.7053 0.3968 0.8608  7 O 2.47-2.71
Ac 0.3968 0.8608 0.7053  7 O 2.47-2.71
Ac 0.8608 0.7053 0.3968  7 O 2.47-2.71
Ac 0.2947 0.6032 0.1392  7 O 2.47-2.71
Ac 0.6032 0.1392 0.2947  7 O 2.47-2.71
Tl 0.0000 0.0000 0.0000  6 O 2.30
O 0.4437 0.1770 0.5929  4 Ac 2.47-2.58
O 0.1770 0.5929 0.4437  4 Ac 2.47-2.58
O 0.5929 0.4437 0.1770  4 Ac 2.47-2.58
O 0.5563 0.8230 0.4071  4 Ac 2.47-2.58
O 0.8230 0.4071 0.5563  4 Ac 2.47-2.58
O 0.4071 0.5563 0.8230  4 Ac 2.47-2.58
O 0.0570 0.9415 0.6912  1 Tl 2.30, 1 Ac 2.55
O 0.3088 0.9430 0.0585  1 Tl 2.30, 1 Ac 2.55
O 0.0585 0.3088 0.9430  1 Tl 2.30, 1 Ac 2.55
O 0.9430 0.0585 0.3088  1 Tl 2.30, 1 Ac 2.55
O 0.6912 0.0570 0.9415  1 Tl 2.30, 1 Ac 2.55
O 0.9415 0.6912 0.0570  1 Tl 2.30, 1 Ac 2.55

## Properties
total DFT energy (no corrections): -7.210 eV/atom
density of states at the Fermi level: 16.8 states/eV/f.u.
ρ: 8.2 Mg/m³
V: 355 Å³/cell
total magnetic moment: 3.2 μB per cell
E_form (uncorrected): -2656 meV/atom


[6]
Ac3Tl2O2 after structural relaxation, computed with PBE.

a = 4.2867 Å, b = 7.9461 Å, c = 8.4468 Å
α = 128.24°, β = 90.00°, γ = 105.65°
With the nearest neighbours (Å) after each atom.
Positions (direct):
Ac 0.0000 0.0000 0.0000  2 O 2.55
Ac 0.6591 0.3182 0.5364  3 O 2.45-2.49
Ac 0.3409 0.6818 0.4636  3 O 2.45-2.49
Tl 0.6621 0.3242 0.9665  2 Tl 3.19, 2 Ac 3.42
Tl 0.3379 0.6758 0.0335  2 Tl 3.19, 2 Ac 3.42
O 0.8444 0.6887 0.6084  4 Ac 2.45-2.55
O 0.1556 0.3113 0.3916  4 Ac 2.45-2.55

## Properties
total DFT energy (no corrections): -5.601 eV/atom
density of states at the Fermi level: 5.1 states/eV/f.u.
ρ: 8.8 Mg/m³
V: 212 Å³/cell
total magnetic moment: 0.0 μB per cell
E_form (uncorrected): -1748 meV/atom


[7]
Ac3Tl2O after structural relaxation, computed with PBE.

a = 4.2340 Å, b = 7.8846 Å, c = 12.0831 Å
α = 90.00°, β = 100.09°, γ = 90.00°
With the nearest neighbours (Å) after each atom.
Positions (direct):
Ac 0.4087 0.5080 0.8174  1 O 2.50
Ac 0.5913 0.4920 0.1826  1 O 2.50
Ac 0.4087 0.9920 0.8174  1 O 2.50
Ac 0.5913 0.0080 0.1826  1 O 2.50
Ac 0.7865 0.7500 0.5730  2 O 2.48
Ac 0.2135 0.2500 0.4270  2 O 2.48
Tl 0.1697 0.7500 0.3395  6 Ac 3.48-3.49
Tl 0.8303 0.2500 0.6605  6 Ac 3.48-3.49
Tl 0.9955 0.7500 0.9910  8 Ac 3.52-3.72
Tl 0.0045 0.2500 0.0090  8 Ac 3.52-3.72
O 0.3406 0.7500 0.6812  4 Ac 2.48-2.50
O 0.6594 0.2500 0.3188  4 Ac 2.48-2.50

## Properties
total DFT energy (no corrections): -4.844 eV/atom
density of states at the Fermi level: 3.5 states/eV/f.u.
ρ: 9.2 Mg/m³
V: 397 Å³/cell
total magnetic moment: 0.0 μB per cell
E_form (uncorrected): -1174 meV/atom


[8]
Ac7Tl3O2 after structural relaxation, computed with PBE.

a = 5.3948 Å, b = 5.1649 Å, c = 13.8064 Å
α = 90.00°, β = 101.36°, γ = 90.00°
With the nearest neighbours (Å) after each atom.
Positions (direct):
Ac 0.6023 0.0000 0.2039  2 O 2.70
Ac 0.2022 0.0000 0.4035  1 O 2.75
Ac 0.0000 0.0000 0.0000  2 O 2.72
Ac 0.3977 0.0000 0.7961  2 O 2.70
Ac 0.9033 0.5000 0.8069  2 O 2.58
Ac 0.0967 0.5000 0.1931  2 O 2.58
Ac 0.7978 0.0000 0.5965  1 O 2.75
Tl 0.5000 0.5000 0.0000  12 Ac 3.73-3.78
Tl 0.3061 0.5000 0.6151  10 Ac 3.56-3.86
Tl 0.6939 0.5000 0.3849  10 Ac 3.56-3.86
O 0.1007 0.0000 0.2007  6 Ac 2.58-2.75
O 0.8993 0.0000 0.7993  6 Ac 2.58-2.75

## Properties
total DFT energy (no corrections): -4.837 eV/atom
density of states at the Fermi level: 8.1 states/eV/f.u.
ρ: 9.8 Mg/m³
V: 377 Å³/cell
total magnetic moment: 0.0 μB per cell
E_form (uncorrected): -1023 meV/atom


Question: What is the V in the first record?
Answer: 253 Å³/cell